{"formula": "HoBeAl2Cu4", "functional": "PBE-GGA", "state": "optimized geometry", "lattice_angstrom": [[2.037, 1.176, 8.198], [-2.037, 1.176, 8.198], [0.000, -2.352, 8.198]], "species": ["Ho", "Be", "Al", "Al", "Cu", "Cu", "Cu", "Cu"], "fractional_positions": [[0.000, 0.000, 0.000], [0.500, 0.500, 0.500], [0.240, 0.240, 0.240], [0.760, 0.760, 0.760], [0.136, 0.136, 0.136], [0.407, 0.407, 0.407], [0.593, 0.593, 0.593], [0.864, 0.864, 0.864]], "dos_at_fermi_per_ev_cell": 3.09, "density_g_cm3": 6.792, "magnetic_moment_mub_per_cell": 0.00, "sg": "R-3m (166)", "formation_energy_ev_per_atom": -0.234}